Record 1
An optimized crystal structure of Tb5Cd2In2, computed with PBE.

Output
M_tot	0.00	μB/f.u.
calculated formation energy	-268	meV/atom
total DFT energy (no corrections)	-3.652	eV/atom
SG	Cmce (64)

a b c (Å): 9.308 9.308 7.321
angles (deg): 90.00 90.00 55.41
Positions (direct):
Tb 0.000 0.000 0.000
Tb 0.047 0.669 0.664
Tb 0.169 0.547 0.164
Tb 0.331 0.953 0.664
Tb 0.453 0.831 0.164
Tb 0.500 0.500 0.500
Tb 0.547 0.169 0.836
Tb 0.669 0.047 0.336
Tb 0.831 0.453 0.836
Tb 0.953 0.331 0.336
Cd 0.137 0.863 0.386
Cd 0.363 0.637 0.886
Cd 0.637 0.363 0.114
Cd 0.863 0.137 0.614
In 0.210 0.210 0.000
In 0.290 0.290 0.500
In 0.710 0.710 0.500
In 0.790 0.790 0.000

---

Record 2
An optimized crystal structure of Sr4PPd3, computed with PBE.

Output
M_tot	0.00	μB/f.u.
calculated formation energy	-720	meV/atom
total DFT energy (no corrections)	-4.185	eV/atom
SG	Pmm2 (25)

a b c (Å): 4.416 4.475 11.232
angles (deg): 90.00 90.00 90.00
Positions (direct):
Sr 0.000 0.000 0.000
Sr 0.000 0.500 0.279
Sr 0.500 0.000 0.495
Sr 0.500 0.500 0.774
P 0.500 0.000 0.190
Pd 0.000 0.000 0.711
Pd 0.000 0.500 0.560
Pd 0.500 0.500 0.095

---

Record 3
An optimized crystal structure of Pu3Sb5Se12, computed with PBE.

Output
M_tot	15.17	μB/f.u.
total DFT energy (no corrections)	-5.822	eV/atom
SG	Ia-3d (230)

a b c (Å): 14.686 14.686 14.686
angles (deg): 109.47 109.47 109.47
Positions (direct):
Pu 0.125 0.250 0.375
Pu 0.125 0.375 0.750
Pu 0.250 0.375 0.125
Pu 0.250 0.875 0.625
Pu 0.375 0.125 0.250
Pu 0.375 0.750 0.125
Pu 0.625 0.250 0.875
Pu 0.625 0.875 0.750
Pu 0.750 0.125 0.375
Pu 0.750 0.625 0.875
Pu 0.875 0.625 0.250
Pu 0.875 0.750 0.625
Sb 0.000 0.000 0.000
Sb 0.000 0.000 0.500
Sb 0.000 0.500 0.000
Sb 0.000 0.500 0.500
Sb 0.125 0.750 0.875
Sb 0.125 0.875 0.250
Sb 0.250 0.125 0.875
Sb 0.250 0.625 0.375
Sb 0.375 0.250 0.625
Sb 0.375 0.625 0.750
Sb 0.500 0.000 0.000
Sb 0.500 0.000 0.500
Sb 0.500 0.500 0.000
Sb 0.500 0.500 0.500
Sb 0.625 0.375 0.250
Sb 0.625 0.750 0.375
Sb 0.750 0.375 0.625
Sb 0.750 0.875 0.125
Sb 0.875 0.125 0.750
Sb 0.875 0.250 0.125
Se 0.052 0.221 0.138
Se 0.052 0.331 0.915
Se 0.084 0.721 0.669
Se 0.084 0.862 0.415
Se 0.085 0.638 0.416
Se 0.085 0.948 0.669
Se 0.138 0.052 0.221
Se 0.138 0.585 0.916
Se 0.169 0.221 0.584
Se 0.169 0.448 0.585
Se 0.221 0.138 0.052
Se 0.221 0.584 0.169
Se 0.279 0.331 0.916
Se 0.279 0.448 0.362
Se 0.331 0.915 0.052
Se 0.331 0.916 0.279
Se 0.362 0.279 0.448
Se 0.362 0.584 0.915
Se 0.415 0.084 0.862
Se 0.415 0.831 0.552
Se 0.416 0.085 0.638
Se 0.416 0.831 0.779
Se 0.448 0.362 0.279
Se 0.448 0.585 0.169
Se 0.552 0.415 0.831
Se 0.552 0.638 0.721
Se 0.584 0.169 0.221
Se 0.584 0.915 0.362
Se 0.585 0.169 0.448
Se 0.585 0.916 0.138
Se 0.638 0.416 0.085
Se 0.638 0.721 0.552
Se 0.669 0.084 0.721
Se 0.669 0.085 0.948
Se 0.721 0.552 0.638
Se 0.721 0.669 0.084
Se 0.779 0.416 0.831
Se 0.779 0.862 0.948
Se 0.831 0.552 0.415
Se 0.831 0.779 0.416
Se 0.862 0.415 0.084
Se 0.862 0.948 0.779
Se 0.915 0.052 0.331
Se 0.915 0.362 0.584
Se 0.916 0.138 0.585
Se 0.916 0.279 0.331
Se 0.948 0.669 0.085
Se 0.948 0.779 0.862

---

Record 4
An optimized crystal structure of Tb3Th2Sc, computed with PBE.

Output
M_tot	0.00	μB/f.u.
calculated formation energy	37	meV/atom
energy relative to the lowest polymorph listed for this composition	0.0	kJ/mol of atoms
total DFT energy (no corrections)	-5.807	eV/atom
SG	P2_1/m (11)

a b c (Å): 9.872 3.547 10.538
angles (deg): 90.00 90.57 90.00
Positions (direct):
Tb 0.122 0.250 0.251
Tb 0.140 0.250 0.916
Tb 0.374 0.750 0.415
Tb 0.626 0.250 0.585
Tb 0.860 0.750 0.084
Tb 0.878 0.750 0.749
Th 0.128 0.250 0.585
Th 0.385 0.750 0.086
Th 0.615 0.250 0.914
Th 0.872 0.750 0.415
Sc 0.374 0.750 0.750
Sc 0.626 0.250 0.250

---

Record 5
An optimized crystal structure of AcMg7Zn5, computed with PBE.

Output
M_tot	0.00	μB/f.u.
calculated formation energy	-152	meV/atom
total DFT energy (no corrections)	-1.817	eV/atom
SG	Imm2 (44)

a b c (Å): 7.447 7.447 7.447
angles (deg): 135.55 98.63 97.82
Positions (direct):
Ac 0.000 0.000 0.000
Mg 0.211 0.498 0.713
Mg 0.342 0.991 0.351
Mg 0.346 0.346 0.000
Mg 0.640 0.991 0.649
Mg 0.646 0.646 0.000
Mg 0.771 0.271 0.500
Mg 0.785 0.498 0.287
Zn 0.002 0.498 0.006
Zn 0.002 0.996 0.504
Zn 0.215 0.715 0.500
Zn 0.492 0.498 0.496
Zn 0.492 0.996 0.994

---

Record 6
An optimized crystal structure of Tb3Pm8Ho2, computed with PBE.

Output
M_tot	0.00	μB/f.u.
calculated formation energy	210	meV/atom
energy relative to the lowest polymorph listed for this composition	18.9	kJ/mol of atoms
total DFT energy (no corrections)	-4.486	eV/atom
SG	C2/m (12)

a b c (Å): 10.860 10.860 5.724
angles (deg): 90.03 90.03 41.67
Positions (direct):
Tb 0.000 0.000 0.000
Tb 0.287 0.713 0.500
Tb 0.713 0.287 0.500
Pm 0.132 0.132 0.500
Pm 0.187 0.599 0.000
Pm 0.327 0.327 0.499
Pm 0.401 0.813 0.000
Pm 0.599 0.187 0.000
Pm 0.673 0.673 0.501
Pm 0.813 0.401 0.000
Pm 0.868 0.868 0.500
Ho 0.240 0.240 0.999
Ho 0.760 0.760 0.001

---

Record 7
An optimized crystal structure of FeBr3, computed with PBE.

Output
M_tot	3.25	μB/f.u.
total DFT energy (no corrections)	-3.387	eV/atom
SG	Cmmm (65)

a b c (Å): 4.764 4.764 10.147
angles (deg): 90.00 90.00 140.34
Positions (direct):
Fe 0.000 0.000 0.000
Br 0.000 0.000 0.500
Br 0.500 0.500 0.176
Br 0.500 0.500 0.824

---

Record 8
An optimized crystal structure of YZnW2, computed with PBE.

Output
M_tot	0.00	μB/f.u.
calculated formation energy	458	meV/atom
total DFT energy (no corrections)	-7.953	eV/atom
SG	P4mm (99)

a b c (Å): 2.803 2.803 9.186
angles (deg): 90.00 90.00 90.00
Positions (direct):
Y 0.000 0.000 0.000
Zn 0.500 0.500 0.264
W 0.000 0.000 0.480
W 0.500 0.500 0.726

---

Record 9
An optimized crystal structure of ZrAlFe, computed with PBE.

Output
M_tot	1.24	μB/f.u.
calculated formation energy	-420	meV/atom
total DFT energy (no corrections)	-7.337	eV/atom
SG	Amm2 (38)

a b c (Å): 8.383 5.116 5.116
angles (deg): 60.65 90.00 90.00
Positions (direct):
Zr 0.177 0.000 0.000
Zr 0.302 0.666 0.666
Zr 0.698 0.666 0.666
Zr 0.823 0.000 0.000
Al 0.240 0.324 0.324
Al 0.500 0.165 0.676
Al 0.500 0.676 0.165
Al 0.760 0.324 0.324
Fe 0.000 0.499 0.499
Fe 0.000 0.502 0.980
Fe 0.000 0.980 0.502
Fe 0.500 0.165 0.165

---

Record 10
An optimized crystal structure of KMnI2Br, computed with PBE.

Output
M_tot	5.00	μB/f.u.
total DFT energy (no corrections)	-3.889	eV/atom
SG	P4/mmm (123)

a b c (Å): 5.857 5.857 5.271
angles (deg): 90.00 90.00 90.00
Positions (direct):
K 0.000 0.000 0.000
Mn 0.500 0.500 0.500
I 0.000 0.500 0.500
I 0.500 0.000 0.500
Br 0.500 0.500 0.000

---

Which of these has the highest M_tot? Pu3Sb5Se12

---

Which of these has the lowest total DFT energy (no corrections)? YZnW2

---

What is the total DFT energy (no corrections) in the third record? -5.822 eV/atom

---

Look up the M_tot of the sixth one. 0.00 μB/f.u.